! Nd6Tl3In, optimized geometry, DFT PBE; values from VASP
! - ΔE_f (kJ per mole of atoms) = -30
! - uncorrected energy (eV per atom) = -4.160
! - ΔE to the lowest computed polymorph (meV per atom) = 0
&SYSTEM
  ibrav = 0, nat = 20, ntyp = 3
/
ATOMIC_SPECIES
Nd 144.24 Nd.upf
Tl 204.38 Tl.upf
In 114.82 In.upf
CELL_PARAMETERS angstrom
5.409 0.000 0.000
0.000 9.459 -2.853
0.000 0.242 11.911
ATOMIC_POSITIONS angstrom
Nd 1.352 4.372 -0.221
Nd 4.057 5.330 9.279
Nd 1.352 1.201 1.548
Nd 4.057 8.500 7.509
Nd 1.352 6.399 6.210
Nd 4.057 3.302 2.848
Nd 1.352 2.402 5.309
Nd 4.057 7.299 3.749
Nd 1.352 8.012 1.301
Nd 4.057 1.689 7.757
Nd 1.352 1.163 10.213
Nd 4.057 8.538 -1.155
Tl 1.352 5.100 3.100
Tl 4.057 4.602 5.958
Tl 1.352 3.796 8.298
Tl 4.057 5.906 0.760
Tl 1.352 7.556 9.379
Tl 4.057 2.146 -0.321
In 1.352 9.157 4.521
In 4.057 0.544 4.536